*a*
{"formula": "Sm2Ge3Pt", "functional": "PBE", "state": "optimized geometry", "lattice_angstrom": [[4.096, 0.000, 0.000], [0.000, 4.423, 0.000], [0.000, 0.000, 7.244]], "species": ["Sm", "Sm", "Ge", "Ge", "Ge", "Pt"], "frac_coords": [[0.000, 0.000, 0.000], [0.000, 0.500, 0.498], [0.500, 0.000, 0.662], [0.500, 0.500, 0.172], [0.500, 0.500, 0.829], [0.500, 0.000, 0.325]], "rho_g_cm3": 9.0}


*b*
{"formula": "Sm2Ge3Pt", "functional": "PBE", "state": "optimized geometry", "lattice_angstrom": [[0.000, 4.243, 7.367], [4.192, 0.000, 7.367], [4.192, 4.243, 0.000]], "species": ["Sm", "Sm", "Sm", "Sm", "Ge", "Ge", "Ge", "Ge", "Ge", "Ge", "Pt", "Pt"], "frac_coords": [[0.248, 0.752, 0.752], [0.250, 0.250, 0.250], [0.750, 0.750, 0.750], [0.752, 0.248, 0.248], [0.168, 0.168, 0.832], [0.168, 0.664, 0.336], [0.336, 0.832, 0.168], [0.664, 0.168, 0.832], [0.832, 0.336, 0.664], [0.832, 0.832, 0.168], [0.333, 0.333, 0.667], [0.667, 0.667, 0.333]], "rho_g_cm3": 9.0}


Which of them is most stable, and which least? Most stable: *b*; least stable: *a*.


*a*
{"formula": "SmGe2Pt7", "functional": "PBE", "state": "optimized geometry", "lattice_angstrom": [[-2.058, 2.058, 10.342], [2.058, -2.058, 10.342], [2.058, 2.058, -10.342]], "species": ["Sm", "Ge", "Ge", "Pt", "Pt", "Pt", "Pt", "Pt", "Pt", "Pt"], "frac_coords": [[0.000, 0.000, 0.000], [0.324, 0.324, 0.000], [0.676, 0.676, 0.000], [0.105, 0.605, 0.500], [0.250, 0.750, 0.500], [0.395, 0.895, 0.500], [0.500, 0.500, 0.000], [0.605, 0.105, 0.500], [0.750, 0.250, 0.500], [0.895, 0.395, 0.500]], "rho_g_cm3": 15.8}


*b*
{"formula": "SmGe2Pt7", "functional": "PBE", "state": "optimized geometry", "lattice_angstrom": [[3.645, -6.216, 0.000], [3.645, 6.216, 0.000], [0.000, 0.000, 4.504]], "species": ["Sm", "Ge", "Ge", "Pt", "Pt", "Pt", "Pt", "Pt", "Pt", "Pt"], "frac_coords": [[0.000, 0.000, 0.000], [0.302, 0.698, 0.500], [0.698, 0.302, 0.500], [0.072, 0.303, 0.500], [0.227, 0.773, 0.000], [0.303, 0.072, 0.500], [0.500, 0.500, 0.500], [0.697, 0.928, 0.500], [0.773, 0.227, 0.000], [0.928, 0.697, 0.500]], "rho_g_cm3": 13.5}


Which of them is most stable, and which least? Most stable: *a*; least stable: *b*.


*a*
{"formula": "Sm2Ge3Pt5", "functional": "PBE", "state": "optimized geometry", "lattice_angstrom": [[-5.026, 6.580, 2.903], [5.026, -6.580, 2.903], [5.026, 6.580, -2.903]], "species": ["Sm", "Sm", "Sm", "Sm", "Ge", "Ge", "Ge", "Ge", "Ge", "Ge", "Pt", "Pt", "Pt", "Pt", "Pt", "Pt", "Pt", "Pt", "Pt", "Pt"], "frac_coords": [[0.134, 0.231, 0.365], [0.366, 0.731, 0.097], [0.634, 0.269, 0.903], [0.866, 0.769, 0.635], [0.109, 0.648, 0.757], [0.250, 0.250, 0.000], [0.391, 0.148, 0.540], [0.609, 0.852, 0.460], [0.750, 0.750, 0.000], [0.891, 0.352, 0.243], [0.032, 0.750, 0.282], [0.129, 0.887, 0.016], [0.250, 0.750, 0.500], [0.371, 0.387, 0.758], [0.468, 0.750, 0.718], [0.532, 0.250, 0.282], [0.629, 0.613, 0.242], [0.750, 0.250, 0.500], [0.871, 0.113, 0.984], [0.968, 0.250, 0.718]], "rho_g_cm3": 12.9}


*b*
{"formula": "Sm2Ge3Pt5", "functional": "PBE", "state": "optimized geometry", "lattice_angstrom": [[2.081, -12.456, 0.000], [2.081, 12.456, 0.000], [0.000, 0.000, 7.223]], "species": ["Sm", "Sm", "Sm", "Sm", "Ge", "Ge", "Ge", "Ge", "Ge", "Ge", "Pt", "Pt", "Pt", "Pt", "Pt", "Pt", "Pt", "Pt", "Pt", "Pt"], "frac_coords": [[0.019, 0.981, 0.500], [0.328, 0.672, 0.450], [0.672, 0.328, 0.950], [0.981, 0.019, 0.000], [0.122, 0.878, 0.274], [0.273, 0.727, 0.908], [0.451, 0.549, 0.329], [0.549, 0.451, 0.829], [0.727, 0.273, 0.408], [0.878, 0.122, 0.774], [0.100, 0.900, 0.771], [0.201, 0.799, 0.625], [0.222, 0.778, 0.209], [0.375, 0.625, 0.007], [0.446, 0.554, 0.694], [0.554, 0.446, 0.194], [0.625, 0.375, 0.507], [0.778, 0.222, 0.709], [0.799, 0.201, 0.125], [0.900, 0.100, 0.271]], "rho_g_cm3": 13.3}


Which of them is most stable, and which least? Most stable: *a*; least stable: *b*.